--- a ---
## FeHgRu (GGA-PBEsol)

Data for a relaxed FeHgRu crystal.

Calculated values
Spin magnetization = 1.6 Bohr magnetons per cell

```
FeHgRu
1.0
2.798 0.000 0.000
0.000 2.798 0.000
-1.399 -1.399 5.584
Ru Hg Fe
1 1 1
Cartesian
1.399 1.399 1.601
0.000 0.000 3.774
0.000 0.000 0.208
```



--- b ---
## FeHgRu (GGA-PBEsol)

Data for a relaxed FeHgRu crystal.

Calculated values
Spin magnetization = 2.0 Bohr magnetons per cell

```
FeHgRu
1.0
-2.437 0.748 1.098
1.966 -1.112 1.613
2.411 6.047 1.231
Hg Fe Ru
1 1 1
Cartesian
2.125 3.587 2.272
0.054 0.135 0.027
-0.239 1.961 1.643
```



Most stable to least stable, the ends of the list are a and b.



--- a ---
## Ag2Sb (GGA-PBEsol)

Data for a relaxed Ag2Sb crystal.

Calculated values
Spin magnetization = 0.0 Bohr magnetons per cell

```
Ag2Sb
1.0
4.884 0.000 0.000
-2.442 4.230 0.000
0.000 0.000 5.770
Sb Ag
2 4
Cartesian
0.000 2.820 4.328
2.442 1.410 1.443
0.000 2.820 1.443
0.000 0.000 2.885
2.442 1.410 4.328
0.000 0.000 0.000
```



--- b ---
## Ag2Sb (GGA-PBEsol)

Data for a relaxed Ag2Sb crystal.

Calculated values
Spin magnetization = 0.0 Bohr magnetons per cell

```
Ag2Sb
1.0
3.146 0.000 0.000
-1.573 5.449 -0.039
0.000 -0.151 7.014
Sb Ag
2 4
Cartesian
1.573 2.849 6.803
0.000 0.035 4.212
0.000 4.279 1.914
0.000 0.493 0.183
0.000 2.910 4.359
1.573 1.722 2.309
```



Most stable to least stable, the ends of the list are b and a.



--- a ---
## MgRe2Se (GGA-PBEsol)

Data for a relaxed MgRe2Se crystal.

Calculated values
Spin magnetization = 0.0 Bohr magnetons per cell

```
MgRe2Se
1.0
-1.749 0.540 -2.063
2.321 -1.290 -0.743
-4.084 -8.121 1.338
Se Re Mg
1 2 1
Cartesian
-1.756 -4.435 -0.734
-3.048 -6.061 0.998
-1.036 -2.060 0.339
0.286 -0.375 -1.403
```



--- b ---
## MgRe2Se (GGA-PBEsol)

Data for a relaxed MgRe2Se crystal.

Calculated values
Spin magnetization = 0.0 Bohr magnetons per cell

```
MgRe2Se
1.0
-0.467 -2.972 3.164
1.975 -3.879 -0.340
3.370 -0.969 2.600
Re Mg Se
2 1 1
Cartesian
3.658 -5.864 4.068
1.219 -1.955 1.356
0.000 0.000 0.000
2.439 -3.910 2.712
```



Most stable to least stable, the ends of the list are a and b.



--- a ---
## Re2Cl (GGA-PBEsol)

Data for a relaxed Re2Cl crystal.

Calculated values
Spin magnetization = 0.0 Bohr magnetons per cell

```
Re2Cl
1.0
2.860 0.000 0.000
0.000 4.146 0.000
0.000 -2.073 3.591
Re Cl
2 1
Cartesian
0.709 2.073 1.197
2.151 0.000 2.394
0.000 0.000 0.000
```



--- b ---
## Re2Cl (GGA-PBEsol)

Data for a relaxed Re2Cl crystal.

Calculated values
Spin magnetization = 0.0 Bohr magnetons per cell

```
Re2Cl
1.0
2.889 0.000 0.000
0.000 4.222 0.000
-1.444 0.000 8.554
Cl Re
2 4
Cartesian
1.444 3.166 5.496
0.000 1.055 3.058
1.444 1.055 7.032
0.000 3.166 7.841
0.000 3.166 1.522
1.444 1.055 0.713
```



Most stable to least stable, the ends of the list are b and a.



--- a ---
## MgCdNi (GGA-PBEsol)

Data for a relaxed MgCdNi crystal.

Calculated values
Spin magnetization = 0.0 Bohr magnetons per cell

```
MgCdNi
1.0
-1.388 -2.803 0.057
1.955 -0.922 2.261
-3.410 3.479 2.203
Ni Mg Cd
1 1 1
Cartesian
-2.060 1.065 2.216
-0.879 -1.261 2.410
-2.746 -0.296 4.418
```



--- b ---
## MgCdNi (GGA-PBEsol)

Data for a relaxed MgCdNi crystal.

Calculated values
Spin magnetization = 0.0 Bohr magnetons per cell

```
MgCdNi
1.0
4.324 0.000 0.000
2.162 3.745 0.000
2.162 1.248 3.530
Ni Cd Mg
1 1 1
Cartesian
4.324 2.496 1.765
6.486 3.745 2.648
0.000 0.000 0.000
```



Most stable to least stable, the ends of the list are a and b.



--- a ---
## NiSb2Os (GGA-PBEsol)

Data for a relaxed NiSb2Os crystal.

Calculated values
Spin magnetization = 0.0 Bohr magnetons per cell

```
NiSb2Os
1.0
-2.114 -2.083 1.057
1.781 -2.360 -1.088
3.646 -0.320 6.664
Sb Ni Os
2 1 1
Cartesian
1.079 -2.331 2.261
3.363 -0.295 6.146
1.890 -0.166 3.455
2.450 -2.451 4.766
```



--- b ---
## NiSb2Os (GGA-PBEsol)

Data for a relaxed NiSb2Os crystal.

Calculated values
Spin magnetization = 0.0 Bohr magnetons per cell

```
NiSb2Os
1.0
-3.790 -0.120 0.795
-0.756 -0.773 -3.720
2.596 -4.037 2.329
Ni Sb Os
1 2 1
Cartesian
-2.273 -0.446 -1.463
0.000 0.000 0.000
-1.733 -2.302 0.830
-0.216 -2.628 -1.427
```



Most stable to least stable, the ends of the list are a and b.



--- a ---
## Ba5Ag (GGA-PBEsol)

Data for a relaxed Ba5Ag crystal.

Calculated values
Spin magnetization = 0.0 Bohr magnetons per cell

```
Ba5Ag
1.0
-3.942 1.340 -0.476
-3.617 -1.802 6.426
-0.255 8.113 6.502
Ba Ag
5 1
Cartesian
-1.971 0.670 -0.238
-6.704 2.655 7.645
-2.324 1.212 4.209
-1.109 4.997 4.806
-5.489 6.439 8.242
-3.906 3.826 6.226
```



--- b ---
## Ba5Ag (GGA-PBEsol)

Data for a relaxed Ba5Ag crystal.

Calculated values
Spin magnetization = 0.0 Bohr magnetons per cell

```
Ba5Ag
1.0
-3.076 -0.544 2.745
0.279 -4.118 -0.504
11.419 -0.775 12.644
Ba Ag
5 1
Cartesian
10.157 -0.690 11.246
2.113 -2.570 5.009
5.710 -0.388 6.322
6.509 -2.868 9.876
1.263 -0.086 1.398
-1.399 -2.331 1.120
```



Most stable to least stable, the ends of the list are b and a.



--- a ---
## KBaTa2 (GGA-PBEsol)

Data for a relaxed KBaTa2 crystal.

Calculated values
Spin magnetization = 0.8 Bohr magnetons per cell

```
KBaTa2
1.0
-1.143 1.192 -2.311
-5.793 -1.289 2.199
-0.127 5.599 2.949
Ba Ta K
1 2 1
Cartesian
-3.531 2.750 1.418
-2.897 -0.645 1.099
-0.063 2.799 1.475
-0.571 0.596 -1.156
```



--- b ---
## KBaTa2 (GGA-PBEsol)

Data for a relaxed KBaTa2 crystal.

Calculated values
Spin magnetization = 0.0 Bohr magnetons per cell

```
KBaTa2
1.0
3.160 0.000 0.000
-1.580 4.529 0.031
0.000 -0.456 9.460
Ta Ba K
2 1 1
Cartesian
1.580 2.110 1.605
0.000 0.051 0.912
0.000 4.266 3.959
0.000 1.948 7.776
```



Most stable to least stable, the ends of the list are b and a.



--- a ---
## Mg (GGA-PBEsol)

Data for a relaxed Mg crystal.

Calculated values
Spin magnetization = 0.0 Bohr magnetons per cell

```
Mg
1.0
3.175 0.000 0.000
1.588 2.750 0.000
1.588 0.917 2.593
Mg
1
Cartesian
0.000 0.000 0.000
```



--- b ---
## Mg (GGA-PBEsol)

Data for a relaxed Mg crystal.

Calculated values
Spin magnetization = 0.0 Bohr magnetons per cell

```
Mg
1.0
-4.678 1.185 1.538
0.794 -1.492 -4.775
-0.812 -5.096 1.457
Mg
4
Cartesian
-3.463 -3.529 0.526
-1.233 -1.874 -2.306
-0.203 -1.274 0.364
-0.609 -3.822 1.093
```



Most stable to least stable, the ends of the list are a and b.



--- a ---
## KAg2Au (GGA-PBEsol)

Data for a relaxed KAg2Au crystal.

Calculated values
Spin magnetization = 0.0 Bohr magnetons per cell

```
KAg2Au
1.0
2.842 -0.013 0.000
-0.165 5.471 0.000
-1.339 -2.729 5.111
K Ag Au
1 2 1
Cartesian
1.421 -0.007 0.000
-0.669 -1.365 2.556
0.669 1.365 2.556
-0.083 2.736 0.000
```



--- b ---
## KAg2Au (GGA-PBEsol)

Data for a relaxed KAg2Au crystal.

Calculated values
Spin magnetization = 0.0 Bohr magnetons per cell

```
KAg2Au
1.0
4.879 0.000 0.000
2.440 4.225 0.000
2.440 1.408 3.984
Ag K Au
2 1 1
Cartesian
7.319 4.225 2.988
2.440 1.408 0.996
4.879 2.817 1.992
0.000 0.000 0.000
```



Most stable to least stable, the ends of the list are a and b.



--- a ---
## ZrScAl2 (GGA-PBEsol)

Data for a relaxed ZrScAl2 crystal.

Calculated values
Spin magnetization = 0.0 Bohr magnetons per cell

```
ZrScAl2
1.0
-2.932 1.122 1.609
0.927 -2.638 3.529
3.488 4.344 -0.541
Sc Al Zr
1 2 1
Cartesian
2.454 3.541 2.002
0.093 0.134 0.076
-0.316 2.220 1.743
1.738 0.520 2.804
```



--- b ---
## ZrScAl2 (GGA-PBEsol)

Data for a relaxed ZrScAl2 crystal.

Calculated values
Spin magnetization = 0.3 Bohr magnetons per cell

```
ZrScAl2
1.0
3.015 0.000 0.000
0.000 3.015 0.000
0.000 0.000 8.268
Al Zr Sc
2 1 1
Cartesian
0.000 0.000 6.195
0.000 0.000 2.073
1.507 1.507 4.134
1.507 1.507 0.000
```



Most stable to least stable, the ends of the list are b and a.



--- a ---
## LaPW2 (GGA-PBEsol)

Data for a relaxed LaPW2 crystal.

Calculated values
Spin magnetization = 0.0 Bohr magnetons per cell

```
LaPW2
1.0
-0.770 2.902 1.372
-3.842 -2.779 -0.249
2.094 -1.551 4.458
P W La
1 2 1
Cartesian
-0.385 1.451 0.686
-1.518 -0.858 0.963
-1.000 -0.571 4.617
1.047 -0.776 2.229
```



--- b ---
## LaPW2 (GGA-PBEsol)

Data for a relaxed LaPW2 crystal.

Calculated values
Spin magnetization = 0.0 Bohr magnetons per cell

```
LaPW2
1.0
-1.511 2.449 -1.787
-3.995 -1.509 1.311
0.167 2.969 3.926
W P La
2 1 1
Cartesian
0.000 0.000 0.000
-2.753 0.470 -0.238
-1.914 0.730 2.618
-0.672 2.709 1.069
```



Most stable to least stable, the ends of the list are a and b.



--- a ---
## CoIr2Rh (GGA-PBEsol)

Data for a relaxed CoIr2Rh crystal.

Calculated values
Spin magnetization = 1.6 Bohr magnetons per cell

```
CoIr2Rh
1.0
-1.954 1.600 0.850
-0.818 -0.126 2.533
4.845 6.388 3.286
Ir Co Rh
2 1 1
Cartesian
0.456 1.902 1.644
1.617 5.960 5.025
0.000 0.000 0.000
1.036 3.931 3.334
```



--- b ---
## CoIr2Rh (GGA-PBEsol)

Data for a relaxed CoIr2Rh crystal.

Calculated values
Spin magnetization = 1.7 Bohr magnetons per cell

```
CoIr2Rh
1.0
-1.490 2.184 0.353
-1.210 0.425 2.339
5.956 5.098 3.678
Co Rh Ir
1 1 2
Cartesian
0.817 1.928 1.593
1.554 3.808 3.156
2.437 5.777 4.776
-2.624 2.655 2.722
```



Most stable to least stable, the ends of the list are a and b.



--- a ---
## ScZn2Os (GGA-PBEsol)

Data for a relaxed ScZn2Os crystal.

Calculated values
Spin magnetization = 0.0 Bohr magnetons per cell

```
ScZn2Os
1.0
-3.342 -1.584 0.852
1.449 -3.438 -0.705
1.165 -0.323 3.967
Zn Os Sc
2 1 1
Cartesian
-0.946 -2.511 0.074
0.000 0.000 0.000
-1.088 -0.953 2.410
1.307 -1.880 1.631
```



--- b ---
## ScZn2Os (GGA-PBEsol)

Data for a relaxed ScZn2Os crystal.

Calculated values
Spin magnetization = 0.0 Bohr magnetons per cell

```
ScZn2Os
1.0
-2.068 0.951 3.116
-3.254 -0.414 -2.033
2.490 -4.080 0.508
Zn Sc Os
2 1 1
Cartesian
-1.713 -2.113 -0.492
-1.120 -1.430 2.083
0.000 0.000 0.000
-2.661 0.269 0.542
```



Most stable to least stable, the ends of the list are b and a.



--- a ---
## Mn2InCl (GGA-PBEsol)

Data for a relaxed Mn2InCl crystal.

Calculated values
Spin magnetization = 6.8 Bohr magnetons per cell

```
Mn2InCl
1.0
2.960 0.000 0.000
1.480 4.581 -0.783
1.480 0.944 5.957
Mn In Cl
2 1 1
Cartesian
2.960 0.506 1.900
2.960 5.019 3.273
1.480 2.763 2.587
1.480 0.000 0.000
```



--- b ---
## Mn2InCl (GGA-PBEsol)

Data for a relaxed Mn2InCl crystal.

Calculated values
Spin magnetization = 7.6 Bohr magnetons per cell

```
Mn2InCl
1.0
-3.028 0.209 -0.462
0.294 -1.599 -2.652
-1.011 -6.383 3.736
In Mn Cl
1 2 1
Cartesian
-1.872 -3.886 0.311
-0.749 -4.726 2.766
-0.262 -1.657 0.970
-1.514 0.105 -0.231
```



Most stable to least stable, the ends of the list are b and a.